--- 1 ---
VASP calculation (PBEsol) on a relaxed structure of ZrBe2Mo.

The structure in CIF format:
```
data_ZrBe2Mo
_cell_length_a 2.738
_cell_length_b 2.738
_cell_length_c 8.934
_cell_angle_alpha 81.19
_cell_angle_beta 81.19
_cell_angle_gamma 60.00
_space_group_name_H-M_alt 'P 1'
_space_group_IT_number 1
loop_
_space_group_symop_operation_xyz
'x,y,z'
loop_
_atom_site_label
_atom_site_type_symbol
_atom_site_fract_x
_atom_site_fract_y
_atom_site_fract_z
_atom_site_occupancy
Be1 Be 0.757 0.757 0.730 1
Be2 Be 0.243 0.243 0.270 1
Zr1 Zr 0.000 0.000 0.000 1
Mo1 Mo 0.500 0.500 0.500 1
```

---

--- 2 ---
VASP calculation (PBEsol) on a relaxed structure of ZrBe2Mo.

The structure in CIF format:
```
data_ZrBe2Mo
_cell_length_a 3.350
_cell_length_b 3.434
_cell_length_c 4.924
_cell_angle_alpha 90.00
_cell_angle_beta 109.89
_cell_angle_gamma 90.00
_space_group_name_H-M_alt 'P 1'
_space_group_IT_number 1
loop_
_space_group_symop_operation_xyz
'x,y,z'
loop_
_atom_site_label
_atom_site_type_symbol
_atom_site_fract_x
_atom_site_fract_y
_atom_site_fract_z
_atom_site_occupancy
Be1 Be 0.055 0.500 0.110 1
Be2 Be 0.180 0.000 0.359 1
Mo1 Mo 0.481 0.000 0.962 1
Zr1 Zr 0.783 0.500 0.567 1
```

---

2 comes first in stability; the runner-up is 0.475 eV/atom higher.

---

--- 1 ---
VASP calculation (PBEsol) on a relaxed structure of BePSe2N.

The structure in CIF format:
```
data_BePSe2N
_cell_length_a 3.129
_cell_length_b 4.775
_cell_length_c 4.775
_cell_angle_alpha 90.00
_cell_angle_beta 90.00
_cell_angle_gamma 90.00
_space_group_name_H-M_alt 'P 1'
_space_group_IT_number 1
loop_
_space_group_symop_operation_xyz
'x,y,z'
loop_
_atom_site_label
_atom_site_type_symbol
_atom_site_fract_x
_atom_site_fract_y
_atom_site_fract_z
_atom_site_occupancy
Se1 Se 0.000 0.000 0.500 1
Se2 Se 0.000 0.500 0.000 1
N1 N 0.500 0.000 0.000 1
P1 P 0.500 0.500 0.500 1
Be1 Be 0.000 0.000 0.000 1
```

---

--- 2 ---
VASP calculation (PBEsol) on a relaxed structure of BePSe2N.

The structure in CIF format:
```
data_BePSe2N
_cell_length_a 3.219
_cell_length_b 4.876
_cell_length_c 4.876
_cell_angle_alpha 90.00
_cell_angle_beta 90.00
_cell_angle_gamma 90.00
_space_group_name_H-M_alt 'P 1'
_space_group_IT_number 1
loop_
_space_group_symop_operation_xyz
'x,y,z'
loop_
_atom_site_label
_atom_site_type_symbol
_atom_site_fract_x
_atom_site_fract_y
_atom_site_fract_z
_atom_site_occupancy
Se1 Se 0.000 0.500 0.000 1
Se2 Se 0.000 0.000 0.500 1
P1 P 0.000 0.000 0.000 1
N1 N 0.500 0.000 0.000 1
Be1 Be 0.500 0.500 0.500 1
```

---

1 comes first in stability; the runner-up is 0.027 eV/atom higher.

---

--- 1 ---
VASP calculation (PBEsol) on a relaxed structure of BeS2N.

The structure in CIF format:
```
data_BeS2N
_cell_length_a 3.959
_cell_length_b 3.959
_cell_length_c 3.959
_cell_angle_alpha 60.00
_cell_angle_beta 60.00
_cell_angle_gamma 60.00
_space_group_name_H-M_alt 'P 1'
_space_group_IT_number 1
loop_
_space_group_symop_operation_xyz
'x,y,z'
loop_
_atom_site_label
_atom_site_type_symbol
_atom_site_fract_x
_atom_site_fract_y
_atom_site_fract_z
_atom_site_occupancy
Be1 Be 0.000 0.000 0.000 1
S1 S 0.750 0.750 0.750 1
S2 S 0.250 0.250 0.250 1
N1 N 0.500 0.500 0.500 1
```

---

--- 2 ---
VASP calculation (PBEsol) on a relaxed structure of BeS2N.

The structure in CIF format:
```
data_BeS2N
_cell_length_a 3.372
_cell_length_b 3.372
_cell_length_c 5.768
_cell_angle_alpha 73.00
_cell_angle_beta 73.00
_cell_angle_gamma 60.00
_space_group_name_H-M_alt 'P 1'
_space_group_IT_number 1
loop_
_space_group_symop_operation_xyz
'x,y,z'
loop_
_atom_site_label
_atom_site_type_symbol
_atom_site_fract_x
_atom_site_fract_y
_atom_site_fract_z
_atom_site_occupancy
S1 S 0.096 0.096 0.713 1
S2 S 0.904 0.904 0.287 1
Be1 Be 0.500 0.500 0.500 1
N1 N 0.000 0.000 0.000 1
```

---

2 comes first in stability; the runner-up is 1.138 eV/atom higher.

---

--- 1 ---
VASP calculation (PBEsol) on a relaxed structure of Sc2BeN.

The structure in CIF format:
```
data_Sc2BeN
_cell_length_a 4.198
_cell_length_b 4.198
_cell_length_c 4.198
_cell_angle_alpha 60.00
_cell_angle_beta 60.00
_cell_angle_gamma 60.00
_space_group_name_H-M_alt 'P 1'
_space_group_IT_number 1
loop_
_space_group_symop_operation_xyz
'x,y,z'
loop_
_atom_site_label
_atom_site_type_symbol
_atom_site_fract_x
_atom_site_fract_y
_atom_site_fract_z
_atom_site_occupancy
Sc1 Sc 0.750 0.750 0.750 1
Sc2 Sc 0.250 0.250 0.250 1
Be1 Be 0.000 0.000 0.000 1
N1 N 0.500 0.500 0.500 1
```

---

--- 2 ---
VASP calculation (PBEsol) on a relaxed structure of Sc2BeN.

The structure in CIF format:
```
data_Sc2BeN
_cell_length_a 3.618
_cell_length_b 3.618
_cell_length_c 7.584
_cell_angle_alpha 76.20
_cell_angle_beta 76.20
_cell_angle_gamma 60.00
_space_group_name_H-M_alt 'P 1'
_space_group_IT_number 1
loop_
_space_group_symop_operation_xyz
'x,y,z'
loop_
_atom_site_label
_atom_site_type_symbol
_atom_site_fract_x
_atom_site_fract_y
_atom_site_fract_z
_atom_site_occupancy
Sc1 Sc 0.084 0.084 0.748 1
Sc2 Sc 0.916 0.916 0.252 1
Be1 Be 0.500 0.500 0.500 1
N1 N 0.000 0.000 0.000 1
```

---

1 comes first in stability; the runner-up is 0.126 eV/atom higher.

---

--- 1 ---
VASP calculation (PBEsol) on a relaxed structure of NaBe3Pt.

The structure in CIF format:
```
data_NaBe3Pt
_cell_length_a 4.018
_cell_length_b 4.018
_cell_length_c 4.018
_cell_angle_alpha 90.00
_cell_angle_beta 90.00
_cell_angle_gamma 90.00
_space_group_name_H-M_alt 'P 1'
_space_group_IT_number 1
loop_
_space_group_symop_operation_xyz
'x,y,z'
loop_
_atom_site_label
_atom_site_type_symbol
_atom_site_fract_x
_atom_site_fract_y
_atom_site_fract_z
_atom_site_occupancy
Be1 Be 0.500 0.000 0.000 1
Be2 Be 0.000 0.500 0.000 1
Be3 Be 0.000 0.000 0.500 1
Na1 Na 0.000 0.000 0.000 1
Pt1 Pt 0.500 0.500 0.500 1
```

---

--- 2 ---
VASP calculation (PBEsol) on a relaxed structure of NaBe3Pt.

The structure in CIF format:
```
data_NaBe3Pt
_cell_length_a 4.319
_cell_length_b 4.319
_cell_length_c 4.319
_cell_angle_alpha 90.00
_cell_angle_beta 90.00
_cell_angle_gamma 90.00
_space_group_name_H-M_alt 'P 1'
_space_group_IT_number 1
loop_
_space_group_symop_operation_xyz
'x,y,z'
loop_
_atom_site_label
_atom_site_type_symbol
_atom_site_fract_x
_atom_site_fract_y
_atom_site_fract_z
_atom_site_occupancy
Pt1 Pt 0.000 0.000 0.000 1
Be1 Be 0.000 0.000 0.500 1
Be2 Be 0.000 0.500 0.000 1
Be3 Be 0.500 0.000 0.000 1
Na1 Na 0.500 0.500 0.500 1
```

---

2 comes first in stability; the runner-up is 1.607 eV/atom higher.

---

--- 1 ---
VASP calculation (PBEsol) on a relaxed structure of Be2Nb2Ru.

The structure in CIF format:
```
data_Be2Nb2Ru
_cell_length_a 3.289
_cell_length_b 6.237
_cell_length_c 6.237
_cell_angle_alpha 90.00
_cell_angle_beta 90.00
_cell_angle_gamma 90.00
_space_group_name_H-M_alt 'P 1'
_space_group_IT_number 1
loop_
_space_group_symop_operation_xyz
'x,y,z'
loop_
_atom_site_label
_atom_site_type_symbol
_atom_site_fract_x
_atom_site_fract_y
_atom_site_fract_z
_atom_site_occupancy
Be1 Be 0.000 0.378 0.878 1
Be2 Be 0.000 0.122 0.378 1
Be3 Be 0.000 0.622 0.122 1
Be4 Be 0.000 0.878 0.622 1
Ru1 Ru 0.000 0.000 0.000 1
Ru2 Ru 0.000 0.500 0.500 1
Nb1 Nb 0.500 0.175 0.675 1
Nb2 Nb 0.500 0.325 0.175 1
Nb3 Nb 0.500 0.825 0.325 1
Nb4 Nb 0.500 0.675 0.825 1
```

---

--- 2 ---
VASP calculation (PBEsol) on a relaxed structure of Be2Nb2Ru.

The structure in CIF format:
```
data_Be2Nb2Ru
_cell_length_a 2.925
_cell_length_b 2.925
_cell_length_c 8.259
_cell_angle_alpha 100.20
_cell_angle_beta 100.20
_cell_angle_gamma 90.00
_space_group_name_H-M_alt 'P 1'
_space_group_IT_number 1
loop_
_space_group_symop_operation_xyz
'x,y,z'
loop_
_atom_site_label
_atom_site_type_symbol
_atom_site_fract_x
_atom_site_fract_y
_atom_site_fract_z
_atom_site_occupancy
Be1 Be 0.750 0.250 0.500 1
Be2 Be 0.250 0.750 0.500 1
Nb1 Nb 0.391 0.391 0.782 1
Nb2 Nb 0.609 0.609 0.218 1
Ru1 Ru 0.000 0.000 0.000 1
```

---

1 comes first in stability; the runner-up is 0.533 eV/atom higher.